DFT (GGA+U) results for a geometry-optimized CrSbF10 structure.

E = -223.0 eV/cell

Cell: 5.815 10.543 12.450 Å, 90.00 100.30 90.00°
Space group P2_1/c (No. 14)
Inequivalent atoms, fractional coordinates:
Cr 0.177 0.245 0.302 [4 per cell]
Sb 0.500 0.000 0.000 [2 per cell]
Sb 0.500 0.000 0.500 [2 per cell]
F 0.020 0.700 0.621 [4 per cell]
F 0.030 0.109 0.255 [4 per cell]
F 0.079 0.170 0.684 [4 per cell]
F 0.233 0.577 0.038 [4 per cell]
F 0.253 0.053 0.070 [4 per cell]
F 0.306 0.153 0.447 [4 per cell]
F 0.330 0.647 0.448 [4 per cell]
F 0.358 0.093 0.864 [4 per cell]
F 0.429 0.573 0.859 [4 per cell]
F 0.448 0.206 0.273 [4 per cell]